Na3SbO: relaxed, PBEsol.

Values from the calculation:
Symmetry: Pm-3m (221)
E_tot (eV per atom): -3.4061
DOS at the Fermi energy (states/eV/atom): 0.81

extended XYZ file:
```
5
Lattice="4.651 0.000 0.000 0.000 4.651 0.000 0.000 0.000 4.651" Properties=species:S:1:pos:R:3 pbc="T T T"
Na 0.000 0.000 2.326
Na 0.000 2.326 0.000
Na 2.326 0.000 0.000
Sb 2.326 2.326 2.326
O 0.000 0.000 0.000
```